[1]
An optimized crystal structure of NdPdAu2. Source: Alexandria, functional GGA-PBE.

Summary:
formation enthalpy at 0 K: -2.37 eV/f.u.
DFT total energy: -4.7218 eV/atom
energy above the most stable polymorph in this dataset: 0.1117 eV per atom

Unit cell a=3.851 b=3.851 c=5.677 alpha=90.00 beta=90.00 gamma=90.00
Atoms (fractional coordinates):
Nd: 0.000 0.000 0.000
Pd: 0.000 0.000 0.500
Au: 0.500 0.500 0.262
Au: 0.500 0.500 0.738

[2]
An optimized crystal structure of CaPAu. Source: Alexandria, functional GGA-PBE.

Summary:
formation enthalpy at 0 K: -1.43 eV/f.u.
DFT total energy: -4.0394 eV/atom

Unit cell a=4.976 b=4.976 c=5.763 alpha=90.00 beta=90.00 gamma=120.00
Atoms (fractional coordinates):
Ca: 0.333 0.667 0.250
Ca: 0.667 0.333 0.750
P: 0.333 0.667 0.750
P: 0.667 0.333 0.250
Au: 0.000 0.000 0.000
Au: 0.000 0.000 0.500

[3]
An optimized crystal structure of CaTe2Se. Source: Alexandria, functional GGA-PBE.

Summary:
E_form (uncorrected): -0.4342 eV per atom
DFT total energy: -3.3765 eV/atom

Unit cell a=6.170 b=6.170 c=16.613 alpha=90.00 beta=90.00 gamma=90.00
Atoms (fractional coordinates):
Ca: 0.000 0.000 0.000
Ca: 0.000 0.500 0.250
Ca: 0.500 0.000 0.750
Ca: 0.500 0.500 0.500
Te: 0.199 0.250 0.625
Te: 0.250 0.699 0.875
Te: 0.250 0.801 0.375
Te: 0.301 0.250 0.125
Te: 0.699 0.750 0.125
Te: 0.750 0.199 0.375
Te: 0.750 0.301 0.875
Te: 0.801 0.750 0.625
Se: 0.000 0.000 0.500
Se: 0.000 0.500 0.750
Se: 0.500 0.000 0.250
Se: 0.500 0.500 0.000